[1]
# Na2Gd

A relaxed Na2Gd crystal (GGA-PBE, OQMD).

abc: 6.3573 6.3573 6.3573
angles: 60.00 60.00 60.00
With the nearest neighbours (Å) after each atom.
Sites, in units of the cell vectors:
Na (0.0000, 0.0000, 0.0000)  6 Na 3.18
Na (0.0000, 0.0000, 0.5000)  6 Na 3.18
Na (0.0000, 0.5000, 0.0000)  6 Na 3.18
Na (0.5000, 0.0000, 0.0000)  6 Na 3.18
Gd (0.3750, 0.3750, 0.3750)  12 Na 3.73, 4 Gd 3.89
Gd (0.6250, 0.6250, 0.6250)  12 Na 3.73, 4 Gd 3.89

## Properties
**Relative energy among the computed polymorphs**: 0 meV/atom
**Space group**: Fd-3m, No. 227

---

[2]
# TbZrCSe

A relaxed TbZrCSe crystal (GGA-PBE, OQMD).

abc: 3.6121 3.6121 13.0918
angles: 90.00 90.00 120.00
With the nearest neighbours (Å) after each atom.
Sites, in units of the cell vectors:
Tb (0.3333, 0.6667, 0.3963)  3 C 2.49
Tb (0.6667, 0.3333, 0.6037)  3 C 2.49
Zr (0.3333, 0.6667, 0.0912)  3 C 2.40
Zr (0.6667, 0.3333, 0.9088)  3 C 2.40
C (0.0000, 0.0000, 0.0000)  6 Zr 2.40
C (0.0000, 0.0000, 0.5000)  6 Tb 2.49
Se (0.3333, 0.6667, 0.7655)  3 Zr 2.80, 3 Tb 2.97
Se (0.6667, 0.3333, 0.2345)  3 Zr 2.80, 3 Tb 2.97

## Properties
**Relative energy among the computed polymorphs**: 17 meV/atom
**Space group**: P-3m1, No. 164

---

[3]
# Cu2SiHgTeS3

A relaxed Cu2SiHgTeS3 crystal (GGA-PBE, OQMD).

abc: 5.7039 5.7039 6.5972
angles: 114.52 114.52 89.68
With the nearest neighbours (Å) after each atom.
Sites, in units of the cell vectors:
Cu (0.2255, 0.7745, 0.0000)  3 S 2.32-2.35, 1 Te 2.58
Cu (0.7745, 0.2255, 0.0000)  3 S 2.32-2.35, 1 Te 2.58
Si (0.9587, 0.9587, 0.4555)  3 S 2.17-2.18
Hg (0.4984, 0.4984, 0.4792)  3 S 2.58-2.70, 1 Te 2.76
Te (0.3434, 0.3434, 0.7571)  1 Si 2.53, 2 Cu 2.58, 1 Hg 2.76
S (0.0640, 0.6324, 0.2121)  1 Si 2.17, 2 Cu 2.34-2.35
S (0.6324, 0.0640, 0.2121)  1 Si 2.17, 2 Cu 2.34-2.35
S (0.8909, 0.8909, 0.7304)  1 Si 2.18, 2 Cu 2.32

## Properties
**E**: -3.879 eV/atom
**Space group**: Cm, No. 8

---

[4]
# GaCuSn2

A relaxed GaCuSn2 crystal (GGA-PBE, OQMD).

abc: 4.9956 4.9956 4.9956
angles: 60.00 60.00 60.00
With the nearest neighbours (Å) after each atom.
Sites, in units of the cell vectors:
Ga (0.0000, 0.0000, 0.0000)  4 Sn 3.06, 4 Cu 3.06
Cu (0.2500, 0.2500, 0.2500)  4 Sn 3.06, 4 Ga 3.06
Sn (0.5000, 0.5000, 0.5000)  4 Sn 3.06, 4 Cu 3.06
Sn (0.7500, 0.7500, 0.7500)  4 Sn 3.06, 4 Ga 3.06

## Properties
**E**: -3.455 eV/atom
**Space group**: F-43m, No. 216